(1)
A plane-wave DFT calculation with PBE was carried out for a geometry-optimized V2TcNiW structure.

Unit cell a=4.4325 b=4.7307 c=4.4325 alpha=90.00 beta=90.00 gamma=90.00
Last column: nearest neighbours and their distance in Å.
Atoms (fractional coordinates):
W (0.0000, 0.5000, 0.0000)  2 Tc 2.37
Ni (0.5000, 0.5000, 0.5000)  4 W 3.13, 8 V 3.24
V (0.5000, 0.0000, 0.0000)  2 Tc 2.22
Tc (0.0000, 0.0000, 0.0000)  4 V 2.22, 2 W 2.37
V (0.0000, 0.0000, 0.5000)  2 Tc 2.22

DFT formation energy, eV per atom: 1.5466
Crystal system: tetragonal

(2)
A plane-wave DFT calculation with PBE was carried out for a geometry-optimized VZnTcNi structure.

Unit cell a=4.2033 b=4.2033 c=4.2033 alpha=60.00 beta=60.00 gamma=60.00
Last column: nearest neighbours and their distance in Å.
Atoms (fractional coordinates):
Zn (0.2500, 0.2500, 0.2500)  4 Tc 2.57, 4 Ni 2.57
Ni (0.5000, 0.5000, 0.5000)  4 V 2.57, 4 Zn 2.57
V (0.7500, 0.7500, 0.7500)  4 Tc 2.57, 4 Ni 2.57
Tc (0.0000, 0.0000, 0.0000)  4 Zn 2.57, 4 V 2.57

DFT formation energy, eV per atom: -0.0966
Crystal system: cubic

(3)
A plane-wave DFT calculation with PBE was carried out for a geometry-optimized TcNiW2 structure.

Unit cell a=2.7431 b=2.7431 c=7.7275 alpha=90.00 beta=90.00 gamma=90.00
Last column: nearest neighbours and their distance in Å.
Atoms (fractional coordinates):
Ni (0.5000, 0.5000, 0.2500)  8 W 2.69, 4 Ni 2.74
W (0.0000, 0.0000, 0.4903)  4 Ni 2.69, 4 W 2.74, 4 Tc 2.79
Tc (0.5000, 0.5000, 0.7500)  4 Tc 2.74, 8 W 2.79
W (0.0000, 0.0000, 0.0097)  4 Ni 2.69, 4 W 2.74, 4 Tc 2.79

Energy above the lowest structure with this stoichiometry, eV/f.u.: 0.51
DFT formation energy, eV per atom: 0.1634
Crystal system: tetragonal

(4)
A plane-wave DFT calculation with PBE was carried out for a geometry-optimized TcNiW structure.

Unit cell a=4.3321 b=4.3321 c=2.6096 alpha=90.00 beta=90.00 gamma=120.00
Last column: nearest neighbours and their distance in Å.
Atoms (fractional coordinates):
W (0.3333, 0.6667, 0.7012)  3 Ni 2.57, 2 W 2.61, 3 Tc 2.65
Tc (0.6667, 0.3333, 0.3703)  2 Tc 2.61, 3 W 2.65, 6 Ni 2.75-2.89
Ni (0.0000, 0.0000, 0.9284)  3 W 2.57, 2 Ni 2.61, 3 Tc 2.75

Energy above the lowest structure with this stoichiometry, eV/f.u.: 0.00
DFT formation energy, eV per atom: 0.0722
Crystal system: trigonal

(5)
A plane-wave DFT calculation with PBE was carried out for a geometry-optimized TcNi3W structure.

Unit cell a=4.4390 b=4.4390 c=4.4390 alpha=90.00 beta=90.00 gamma=90.00
Last column: nearest neighbours and their distance in Å.
Atoms (fractional coordinates):
Ni (0.0000, 0.5000, 0.0000)  2 W 2.22
Ni (0.0000, 0.0000, 0.5000)  2 W 2.22
W (0.0000, 0.0000, 0.0000)  6 Ni 2.22
Ni (0.5000, 0.0000, 0.0000)  2 W 2.22
Tc (0.5000, 0.5000, 0.5000)  12 Ni 3.14

Energy above the lowest structure with this stoichiometry, eV/f.u.: 8.05
DFT formation energy, eV per atom: 1.6857
Crystal system: cubic

(6)
A plane-wave DFT calculation with PBE was carried out for a geometry-optimized TcNiW2 structure.

Unit cell a=5.0075 b=5.0075 c=5.0075 alpha=142.08 beta=129.43 gamma=64.92
Last column: nearest neighbours and their distance in Å.
Atoms (fractional coordinates):
Tc (0.7573, 0.2573, 0.5000)  6 W 2.63-2.69, 4 Ni 2.76-2.93
Ni (0.4938, 0.4938, 0.0000)  6 W 2.65-2.69, 4 Tc 2.76-2.93
W (0.2468, 0.7468, 0.5000)  2 W 2.63, 2 Ni 2.65, 4 Tc 2.69
W (0.0021, 0.0021, 0.0000)  2 W 2.63, 2 Tc 2.63, 4 Ni 2.69

Energy above the lowest structure with this stoichiometry, eV/f.u.: 0.53
DFT formation energy, eV per atom: 0.1702
Crystal system: orthorhombic

(7)
A plane-wave DFT calculation with PBE was carried out for a geometry-optimized TcNiW2 structure.

Unit cell a=2.6849 b=2.6849 c=8.4205 alpha=90.00 beta=90.00 gamma=105.89
Last column: nearest neighbours and their distance in Å.
Atoms (fractional coordinates):
Tc (0.5000, 0.5000, 0.7362)  2 Ni 2.55, 4 Tc 2.68, 2 W 2.72
Ni (0.0000, 0.0000, 0.5014)  2 Tc 2.55, 2 W 2.56, 4 Ni 2.68
W (0.5000, 0.5000, 0.2662)  2 Ni 2.56, 6 W 2.68-2.79
W (0.0000, 0.0000, 0.9963)  6 W 2.68-2.79, 2 Tc 2.72

Energy above the lowest structure with this stoichiometry, eV/f.u.: 0.27
DFT formation energy, eV per atom: 0.1045
Crystal system: orthorhombic

(8)
A plane-wave DFT calculation with PBE was carried out for a geometry-optimized TcNiW2 structure.

Unit cell a=4.3404 b=2.6571 c=5.1711 alpha=80.38 beta=90.00 gamma=90.00
Last column: nearest neighbours and their distance in Å.
Atoms (fractional coordinates):
W (0.0000, 0.9912, 0.0049)  4 W 2.64-2.76, 2 Ni 2.66, 2 Tc 2.67
W (0.0000, 0.5088, 0.4951)  4 W 2.64-2.76, 2 Ni 2.66, 2 Tc 2.67
Ni (0.5000, 0.2500, 0.2500)  2 Ni 2.66, 4 W 2.66, 2 Tc 2.70
Tc (0.5000, 0.7500, 0.7500)  2 Tc 2.66, 4 W 2.67, 2 Ni 2.70

Energy above the lowest structure with this stoichiometry, eV/f.u.: 0.47
DFT formation energy, eV per atom: 0.1542
Crystal system: monoclinic

(9)
A plane-wave DFT calculation with PBE was carried out for a geometry-optimized TcNiW structure.

Unit cell a=6.2225 b=6.2225 c=6.2225 alpha=155.36 beta=155.36 gamma=35.12
Last column: nearest neighbours and their distance in Å.
Atoms (fractional coordinates):
Ni (0.9983, 0.9983, 0.0000)  4 Tc 2.63, 4 Ni 2.65, 4 W 2.67
W (0.6583, 0.6583, 0.0000)  4 W 2.65, 4 Ni 2.67, 4 Tc 2.89
Tc (0.3434, 0.3434, 0.0000)  4 Ni 2.63, 4 Tc 2.65, 4 W 2.89

Energy above the lowest structure with this stoichiometry, eV/f.u.: 0.18
DFT formation energy, eV per atom: 0.1306
Crystal system: tetragonal

(10)
A plane-wave DFT calculation with PBE was carried out for a geometry-optimized TcNiW2 structure.

Unit cell a=5.1917 b=5.0902 c=2.6627 alpha=80.22 beta=79.64 gamma=117.58
Last column: nearest neighbours and their distance in Å.
Atoms (fractional coordinates):
Tc (0.5000, 0.5000, 0.0000)  2 Tc 2.66, 4 W 2.66, 2 Ni 2.70
Ni (0.0000, 0.5000, 0.5000)  2 Ni 2.66, 4 W 2.66, 2 Tc 2.70
W (0.5000, 0.0000, 0.5000)  4 W 2.66-2.70, 2 Tc 2.66, 2 Ni 2.66
W (0.0000, 0.0000, 0.0000)  4 W 2.66-2.70, 2 Ni 2.66, 2 Tc 2.66

Energy above the lowest structure with this stoichiometry, eV/f.u.: 0.48
DFT formation energy, eV per atom: 0.1568
Crystal system: monoclinic

(11)
A plane-wave DFT calculation with PBE was carried out for a geometry-optimized TcNiW2 structure.

Unit cell a=2.6726 b=2.6726 c=8.1744 alpha=90.00 beta=90.00 gamma=90.00
Last column: nearest neighbours and their distance in Å.
Atoms (fractional coordinates):
W (0.0000, 0.0000, 0.9939)  8 W 2.67-2.97, 4 Tc 2.88
Tc (0.5000, 0.5000, 0.7285)  4 Ni 2.64, 4 Tc 2.67, 4 W 2.88
Ni (0.0000, 0.0000, 0.5038)  4 Tc 2.64, 4 W 2.67, 4 Ni 2.67
W (0.5000, 0.5000, 0.2737)  4 Ni 2.67, 8 W 2.67-2.97

Energy above the lowest structure with this stoichiometry, eV/f.u.: 0.59
DFT formation energy, eV per atom: 0.1855
Crystal system: tetragonal

(12)
A plane-wave DFT calculation with PBE was carried out for a geometry-optimized TcNiW2 structure.

Unit cell a=4.3585 b=4.3585 c=4.3585 alpha=60.00 beta=60.00 gamma=60.00
Last column: nearest neighbours and their distance in Å.
Atoms (fractional coordinates):
W (0.2500, 0.2500, 0.2500)  4 Tc 2.67, 4 Ni 2.67
Ni (0.0000, 0.0000, 0.0000)  8 W 2.67
Tc (0.5000, 0.5000, 0.5000)  8 W 2.67
W (0.7500, 0.7500, 0.7500)  4 Tc 2.67, 4 Ni 2.67

Energy above the lowest structure with this stoichiometry, eV/f.u.: 0.85
DFT formation energy, eV per atom: 0.2489
Crystal system: cubic

no.,N(E_F) (states/eV/cell)
1,6.65
2,0.82
3,4.44
4,1.82
5,5.40
6,4.66
7,3.32
8,3.32
9,3.91
10,4.36
11,4.15
12,4.83